The following is a DFT calculation (PBE) of a relaxed structure of HfPaMnTc.

a = 6.6129 Å, b = 6.6129 Å, c = 6.6129 Å
α = 90.00°, β = 90.00°, γ = 90.00°
Closest atoms and distances in Å follow each position.
Space group F-43m (No. 216)
Symmetry-distinct sites (fractional):
Hf: 0.0000 0.0000 0.0000 [4 per cell]  4 Tc 2.86, 4 Mn 2.86
Pa: 0.0000 0.0000 0.5000 [4 per cell]  4 Mn 2.86, 4 Tc 2.86
Mn: 0.2500 0.2500 0.2500 [4 per cell]  4 Hf 2.86, 4 Pa 2.86
Tc: 0.2500 0.2500 0.7500 [4 per cell]  4 Hf 2.86, 4 Pa 2.86

calculated formation energy: -164 meV/atom
N(E_F): 1.029 states/eV/atom